(1)
A plane-wave DFT calculation with PBEsol was carried out for crystalline GaAsSe3 at its relaxed geometry.

Cell lengths 4.8372, 4.8372, 4.8372 Å; angles 90.00, 90.00, 90.00 degrees
Closest atoms and distances in Å follow each position.
Positions (direct):
Ga (0.0000, 0.0000, 0.0000)  6 Se 2.42
As (0.5000, 0.5000, 0.5000)  12 Se 3.42
Se (0.0000, 0.0000, 0.5000)  2 Ga 2.42
Se (0.0000, 0.5000, 0.0000)  2 Ga 2.42
Se (0.5000, 0.0000, 0.0000)  2 Ga 2.42

Computed properties:
E_form (uncorrected)	0.492	eV per atom
SG	Pm-3m
DOS at the Fermi energy	0.863	states/eV per atom

***

(2)
A plane-wave DFT calculation with PBEsol was carried out for crystalline TaGaAsSe2 at its relaxed geometry.

Cell lengths 4.9858, 4.9858, 5.0010 Å; angles 90.00, 90.00, 90.00 degrees
Closest atoms and distances in Å follow each position.
Positions (direct):
Ta (0.0000, 0.0000, 0.0000)  4 Se 2.49, 2 As 2.50
Ga (0.5000, 0.5000, 0.5000)  4 As 3.53, 8 Se 3.53
As (0.0000, 0.0000, 0.5000)  2 Ta 2.50
Se (0.0000, 0.5000, 0.0000)  2 Ta 2.49
Se (0.5000, 0.0000, 0.0000)  2 Ta 2.49

Computed properties:
E_form (uncorrected)	-0.016	eV per atom
SG	P4/mmm
DOS at the Fermi energy	0.687	states/eV per atom

***

(3)
A plane-wave DFT calculation with PBEsol was carried out for crystalline ZnGaAsSe2 at its relaxed geometry.

Cell lengths 4.8999, 4.8999, 4.8483 Å; angles 90.00, 90.00, 90.00 degrees
Closest atoms and distances in Å follow each position.
Positions (direct):
Zn (0.0000, 0.0000, 0.0000)  8 Se 3.45, 4 As 3.46
Ga (0.5000, 0.5000, 0.5000)  2 As 2.42, 4 Se 2.45
As (0.5000, 0.5000, 0.0000)  2 Ga 2.42
Se (0.0000, 0.5000, 0.5000)  2 Ga 2.45
Se (0.5000, 0.0000, 0.5000)  2 Ga 2.45

Computed properties:
E_form (uncorrected)	0.565	eV per atom
SG	P4/mmm
DOS at the Fermi energy	0.975	states/eV per atom

***

(4)
A plane-wave DFT calculation with PBEsol was carried out for crystalline Sr3GaAs3 at its relaxed geometry.

Cell lengths 12.6866, 19.1535, 6.4576 Å; angles 90.00, 90.00, 90.00 degrees
Closest atoms and distances in Å follow each position.
Positions (direct):
Sr (0.0122, 0.0744, 0.2234)  1 Ga 3.08, 6 As 3.13-3.43
Sr (0.0122, 0.4256, 0.2234)  1 Ga 3.08, 6 As 3.13-3.43
Sr (0.0188, 0.2500, 0.8292)  6 As 3.13-3.37, 2 Ga 3.21
Sr (0.2326, 0.2500, 0.3110)  6 As 3.11-3.40, 2 Ga 3.22
Sr (0.2359, 0.0736, 0.6923)  1 Ga 3.10, 6 As 3.12-3.45
Sr (0.2359, 0.4264, 0.6923)  1 Ga 3.10, 6 As 3.12-3.45
Sr (0.2641, 0.5736, 0.1923)  1 Ga 3.10, 6 As 3.12-3.45
Sr (0.2641, 0.9264, 0.1923)  1 Ga 3.10, 6 As 3.12-3.45
Sr (0.2674, 0.7500, 0.8110)  6 As 3.11-3.40, 2 Ga 3.22
Sr (0.4812, 0.7500, 0.3292)  6 As 3.13-3.37, 2 Ga 3.21
Sr (0.4878, 0.5744, 0.7234)  1 Ga 3.08, 6 As 3.13-3.43
Sr (0.4878, 0.9256, 0.7234)  1 Ga 3.08, 6 As 3.13-3.43
Sr (0.5122, 0.0744, 0.2766)  1 Ga 3.08, 6 As 3.13-3.43
Sr (0.5122, 0.4256, 0.2766)  1 Ga 3.08, 6 As 3.13-3.43
Sr (0.5188, 0.2500, 0.6708)  6 As 3.13-3.37, 2 Ga 3.21
Sr (0.7326, 0.2500, 0.1890)  6 As 3.11-3.40, 2 Ga 3.22
Sr (0.7359, 0.0736, 0.8077)  1 Ga 3.10, 6 As 3.12-3.45
Sr (0.7359, 0.4264, 0.8077)  1 Ga 3.10, 6 As 3.12-3.45
Sr (0.7641, 0.5736, 0.3077)  1 Ga 3.10, 6 As 3.12-3.45
Sr (0.7641, 0.9264, 0.3077)  1 Ga 3.10, 6 As 3.12-3.45
Sr (0.7674, 0.7500, 0.6890)  6 As 3.11-3.40, 2 Ga 3.22
Sr (0.9812, 0.7500, 0.1708)  6 As 3.13-3.37, 2 Ga 3.21
Sr (0.9878, 0.5744, 0.7766)  1 Ga 3.08, 6 As 3.13-3.43
Sr (0.9878, 0.9256, 0.7766)  1 Ga 3.08, 6 As 3.13-3.43
Ga (0.1264, 0.6631, 0.4862)  4 As 2.48-2.53
Ga (0.1264, 0.8369, 0.4862)  4 As 2.48-2.53
Ga (0.3736, 0.1631, 0.9862)  4 As 2.48-2.53
Ga (0.3736, 0.3369, 0.9862)  4 As 2.48-2.53
Ga (0.6264, 0.6631, 0.0138)  4 As 2.48-2.53
Ga (0.6264, 0.8369, 0.0138)  4 As 2.48-2.53
Ga (0.8736, 0.1631, 0.5138)  4 As 2.48-2.53
Ga (0.8736, 0.3369, 0.5138)  4 As 2.48-2.53
As (0.0104, 0.5894, 0.2658)  1 Ga 2.49
As (0.0104, 0.9106, 0.2658)  1 Ga 2.49
As (0.0161, 0.7500, 0.6877)  2 Ga 2.53
As (0.2354, 0.7500, 0.2885)  2 Ga 2.51
As (0.2420, 0.5894, 0.7066)  1 Ga 2.48
As (0.2420, 0.9106, 0.7066)  1 Ga 2.48
As (0.2580, 0.0894, 0.2066)  1 Ga 2.48
As (0.2580, 0.4106, 0.2066)  1 Ga 2.48
As (0.2646, 0.2500, 0.7885)  2 Ga 2.51
As (0.4839, 0.2500, 0.1877)  2 Ga 2.53
As (0.4896, 0.0894, 0.7658)  1 Ga 2.49
As (0.4896, 0.4106, 0.7658)  1 Ga 2.49
As (0.5104, 0.5894, 0.2342)  1 Ga 2.49
As (0.5104, 0.9106, 0.2342)  1 Ga 2.49
As (0.5161, 0.7500, 0.8123)  2 Ga 2.53
As (0.7354, 0.7500, 0.2115)  2 Ga 2.51
As (0.7420, 0.5894, 0.7934)  1 Ga 2.48
As (0.7420, 0.9106, 0.7934)  1 Ga 2.48
As (0.7580, 0.0894, 0.2934)  1 Ga 2.48
As (0.7580, 0.4106, 0.2934)  1 Ga 2.48
As (0.7646, 0.2500, 0.7115)  2 Ga 2.51
As (0.9839, 0.2500, 0.3123)  2 Ga 2.53
As (0.9896, 0.0894, 0.7342)  1 Ga 2.49
As (0.9896, 0.4106, 0.7342)  1 Ga 2.49

Computed properties:
ΔE_f	-1.0192	eV per atom
SG	Pnma

***

(5)
A plane-wave DFT calculation with PBEsol was carried out for crystalline Ga3Te3As at its relaxed geometry.

Cell lengths 4.0956, 16.4346, 5.8380 Å; angles 90.00, 90.00, 90.00 degrees
Closest atoms and distances in Å follow each position.
Positions (direct):
Ga (0.0000, 0.0569, 0.0000)  3 As 2.45-2.48, 1 Te 2.65
Ga (0.0000, 0.5681, 0.0182)  4 Te 2.57-2.66
Ga (0.0000, 0.8150, 0.0241)  1 As 2.46, 3 Te 2.57-2.66
Ga (0.5000, 0.1850, 0.5241)  1 As 2.46, 3 Te 2.57-2.66
Ga (0.5000, 0.4319, 0.5182)  4 Te 2.57-2.66
Ga (0.5000, 0.9431, 0.5000)  3 As 2.45-2.48, 1 Te 2.65
Te (0.0000, 0.1950, 0.2338)  3 Ga 2.65-2.66
Te (0.0000, 0.4253, 0.2272)  3 Ga 2.65-2.66
Te (0.0000, 0.6906, 0.2916)  2 Ga 2.57
Te (0.5000, 0.3094, 0.7916)  2 Ga 2.57
Te (0.5000, 0.5747, 0.7272)  3 Ga 2.65-2.66
Te (0.5000, 0.8050, 0.7338)  3 Ga 2.65-2.66
As (0.0000, 0.9395, 0.2594)  4 Ga 2.45-2.48
As (0.5000, 0.0605, 0.7594)  4 Ga 2.45-2.48

Computed properties:
E_form (uncorrected)	-0.274	eV per atom
SG	Pmn2_1
DOS at the Fermi energy	0.040	states/eV per atom

***

(6)
A plane-wave DFT calculation with PBEsol was carried out for crystalline Ti2GaAs at its relaxed geometry.

Cell lengths 4.4499, 4.4499, 4.4499 Å; angles 60.00, 60.00, 60.00 degrees
Closest atoms and distances in Å follow each position.
Positions (direct):
Ti (0.2500, 0.2500, 0.2500)  4 As 2.72, 4 Ga 2.72
Ti (0.7500, 0.7500, 0.7500)  4 As 2.72, 4 Ga 2.72
Ga (0.0000, 0.0000, 0.0000)  8 Ti 2.72
As (0.5000, 0.5000, 0.5000)  8 Ti 2.72

Computed properties:
ΔE_f	-0.3825	eV per atom
SG	Fm-3m
DOS at the Fermi energy	1.161	states/eV per atom

***

(7)
A plane-wave DFT calculation with PBEsol was carried out for crystalline Ti3GaAs at its relaxed geometry.

Cell lengths 4.6066, 4.6066, 4.6066 Å; angles 90.00, 90.00, 90.00 degrees
Closest atoms and distances in Å follow each position.
Positions (direct):
Ti (0.0000, 0.0000, 0.5000)  2 Ga 2.30
Ti (0.0000, 0.5000, 0.0000)  2 Ga 2.30
Ti (0.5000, 0.0000, 0.0000)  2 Ga 2.30
Ga (0.0000, 0.0000, 0.0000)  6 Ti 2.30
As (0.5000, 0.5000, 0.5000)  12 Ti 3.26

Computed properties:
ΔE_f	0.4658	eV per atom
SG	Pm-3m
DOS at the Fermi energy	1.168	states/eV per atom

***

(8)
A plane-wave DFT calculation with PBEsol was carried out for crystalline GaAs3W at its relaxed geometry.

Cell lengths 4.8714, 4.8714, 4.8714 Å; angles 90.00, 90.00, 90.00 degrees
Closest atoms and distances in Å follow each position.
Positions (direct):
Ga (0.0000, 0.0000, 0.0000)  12 As 3.44
As (0.0000, 0.5000, 0.5000)  2 W 2.44
As (0.5000, 0.0000, 0.5000)  2 W 2.44
As (0.5000, 0.5000, 0.0000)  2 W 2.44
W (0.5000, 0.5000, 0.5000)  6 As 2.44

Computed properties:
ΔE_f	0.5043	eV per atom
SG	Pm-3m
DOS at the Fermi energy	0.660	states/eV per atom

***

(9)
A plane-wave DFT calculation with PBEsol was carried out for crystalline YGaAs2 at its relaxed geometry.

Cell lengths 6.2064, 6.2064, 6.2064 Å; angles 112.46, 112.46, 103.64 degrees
Closest atoms and distances in Å follow each position.
Positions (direct):
Y (0.0000, 0.0000, 0.0000)  4 As 2.85
Y (0.7500, 0.2500, 0.5000)  4 As 2.85
Ga (0.2500, 0.7500, 0.5000)  4 As 2.42
Ga (0.5000, 0.5000, 0.0000)  4 As 2.42
As (0.1729, 0.6250, 0.0479)  2 Ga 2.42
As (0.3750, 0.4229, 0.5479)  2 Ga 2.42
As (0.5771, 0.1250, 0.9521)  2 Ga 2.42
As (0.8750, 0.8271, 0.4521)  2 Ga 2.42

Computed properties:
ΔE_f	-0.6187	eV per atom
SG	I-42d
DOS at the Fermi energy	0.136	states/eV per atom

***

(10)
A plane-wave DFT calculation with PBEsol was carried out for crystalline Na2GdMnAs2O9 at its relaxed geometry.

Cell lengths 5.7789, 14.7615, 10.4452 Å; angles 90.00, 120.54, 90.00 degrees
Closest atoms and distances in Å follow each position.
Positions (direct):
Na (0.0828, 0.1370, 0.3191)  6 O 2.46-2.62
Na (0.0828, 0.3630, 0.8191)  6 O 2.46-2.62
Na (0.3666, 0.2289, 0.0977)  5 O 2.37-2.49
Na (0.3666, 0.2711, 0.5977)  5 O 2.37-2.49
Na (0.6334, 0.7289, 0.4023)  5 O 2.37-2.49
Na (0.6334, 0.7711, 0.9023)  5 O 2.37-2.49
Na (0.9172, 0.6370, 0.1809)  6 O 2.46-2.62
Na (0.9172, 0.8630, 0.6809)  6 O 2.46-2.62
Gd (0.0170, 0.1186, 0.7160)  8 O 2.28-2.55
Gd (0.0170, 0.3814, 0.2160)  8 O 2.28-2.55
Gd (0.9830, 0.6186, 0.7840)  8 O 2.28-2.55
Gd (0.9830, 0.8814, 0.2840)  8 O 2.28-2.55
Mn (0.0000, 0.0000, 0.0000)  4 O 1.87-1.94
Mn (0.0000, 0.5000, 0.5000)  4 O 1.87-1.94
Mn (0.5000, 0.0000, 0.0000)  4 O 1.87-2.00
Mn (0.5000, 0.5000, 0.5000)  4 O 1.87-2.00
As (0.2861, 0.7045, 0.5698)  4 O 1.69-1.75
As (0.2861, 0.7955, 0.0698)  4 O 1.69-1.75
As (0.4153, 0.0027, 0.6510)  4 O 1.69-1.75
As (0.4153, 0.4973, 0.1510)  4 O 1.69-1.75
As (0.5847, 0.5027, 0.8490)  4 O 1.69-1.75
As (0.5847, 0.9973, 0.3490)  4 O 1.69-1.75
As (0.7139, 0.2045, 0.9302)  4 O 1.69-1.75
As (0.7139, 0.2955, 0.4302)  4 O 1.69-1.75
O (0.0438, 0.7463, 0.4044)  1 As 1.69
O (0.0438, 0.7537, 0.9044)  1 As 1.69
O (0.2014, 0.7227, 0.7021)  1 As 1.71
O (0.2014, 0.7773, 0.2021)  1 As 1.71
O (0.2248, 0.0790, 0.9722)  2 Mn 1.87
O (0.2248, 0.4210, 0.4722)  2 Mn 1.87
O (0.2377, 0.0013, 0.2477)  1 As 1.73
O (0.2377, 0.4987, 0.7477)  1 As 1.73
O (0.2646, 0.5896, 0.5230)  1 As 1.75, 1 Mn 1.94
O (0.2646, 0.9104, 0.0230)  1 As 1.75, 1 Mn 1.94
O (0.2818, 0.1088, 0.5932)  1 As 1.71
O (0.2818, 0.3912, 0.0932)  1 As 1.71
O (0.2820, 0.5218, 0.2647)  1 As 1.75
O (0.2820, 0.9782, 0.7647)  1 As 1.75
O (0.3125, 0.5770, 0.0166)  1 As 1.69
O (0.3125, 0.9230, 0.5166)  1 As 1.69
O (0.3893, 0.2319, 0.8703)  1 As 1.70
O (0.3893, 0.2681, 0.3703)  1 As 1.70
O (0.6107, 0.7319, 0.6297)  1 As 1.70
O (0.6107, 0.7681, 0.1297)  1 As 1.70
O (0.6875, 0.0770, 0.4834)  1 As 1.69
O (0.6875, 0.4230, 0.9834)  1 As 1.69
O (0.7180, 0.0218, 0.2353)  1 As 1.75
O (0.7180, 0.4782, 0.7353)  1 As 1.75
O (0.7182, 0.6088, 0.9068)  1 As 1.71
O (0.7182, 0.8912, 0.4068)  1 As 1.71
O (0.7354, 0.0896, 0.9770)  1 As 1.75, 1 Mn 1.94
O (0.7354, 0.4104, 0.4770)  1 As 1.75, 1 Mn 1.94
O (0.7623, 0.5013, 0.2523)  1 As 1.73
O (0.7623, 0.9987, 0.7523)  1 As 1.73
O (0.7752, 0.5790, 0.5278)  2 Mn 1.87
O (0.7752, 0.9210, 0.0278)  2 Mn 1.87
O (0.7986, 0.2227, 0.7979)  1 As 1.71
O (0.7986, 0.2773, 0.2979)  1 As 1.71
O (0.9562, 0.2463, 0.0956)  1 As 1.69
O (0.9562, 0.2537, 0.5956)  1 As 1.69

Computed properties:
E_form (uncorrected)	-1.916	eV per atom
SG	P2_1/c

***

| no. | spin magnetization (μB/f.u.) |
| --- | --- |
| 1 | 0.001 |
| 2 | 0.000 |
| 3 | 0.001 |
| 4 | 0.000 |
| 5 | 0.000 |
| 6 | 0.001 |
| 7 | 0.011 |
| 8 | 0.000 |
| 9 | 0.000 |
| 10 | 11.000 |